## Cs2SbOs2 (GGA-PBE)

Data for Cs2SbOs2 after structural relaxation.

Cell lengths 3.521, 3.521, 25.435 Å; angles 90.00, 90.00, 90.00 degrees
Sites, in units of the cell vectors:
Cs  0.000  0.000  0.118
Cs  0.000  0.000  0.882
Cs  0.500  0.500  0.382
Cs  0.500  0.500  0.618
Sb  0.000  0.000  0.500
Sb  0.500  0.500  0.000
Os  0.000  0.500  0.250
Os  0.000  0.500  0.750
Os  0.500  0.000  0.250
Os  0.500  0.000  0.750

The calculation puts the uncorrected formation energy at 680 meV/atom. The space-group type is No. 139. The magnetic moment comes out at 0.0 μB/cell.